MgAgS: optimized geometry, PBE.

```
data_MgAgS
_chemical_formula_sum 'Mg8 Ag8 S8'
_space_group_name_H-M_alt 'C 1 c 1'
_space_group_IT_number 9
_space_group_name_Hall 'C -2yc'
_cell_length_a 7.652
_cell_length_b 10.712
_cell_length_c 6.883
_cell_angle_alpha 90.00
_cell_angle_beta 120.58
_cell_angle_gamma 90.00
loop_
_atom_site_label
_atom_site_type_symbol
_atom_site_fract_x
_atom_site_fract_y
_atom_site_fract_z
Mg1 Mg 0.000 0.073 0.000
Mg2 Mg 0.372 0.121 0.588
Ag1 Ag 0.177 0.450 0.588
Ag2 Ag 0.300 0.324 0.978
S1 S 0.188 0.260 0.268
S2 S 0.257 0.076 0.855
```

Calculated values
- E_form (uncorrected): -58.1 kJ/mol of atoms
- E: -3.460 eV per atom

=====

MgAg3S: optimized geometry, PBE.

```
data_MgAg3S
_chemical_formula_sum 'Mg1 Ag3 S1'
_space_group_name_H-M_alt 'P m -3 m'
_space_group_IT_number 221
_space_group_name_Hall '-P 4 2 3'
_cell_length_a 4.932
_cell_length_b 4.932
_cell_length_c 4.932
_cell_angle_alpha 90.00
_cell_angle_beta 90.00
_cell_angle_gamma 90.00
loop_
_atom_site_label
_atom_site_type_symbol
_atom_site_fract_x
_atom_site_fract_y
_atom_site_fract_z
Mg1 Mg 0.000 0.000 0.000
Ag1 Ag 0.000 0.500 0.500
S1 S 0.500 0.500 0.500
```

Calculated values
- DOS(E_F): 2.6 states/eV/f.u.
- E_form (uncorrected): 28.9 kJ/mol of atoms
- Offset from the most stable computed form: 0.000 eV per atom
- E: -2.556 eV per atom

=====

MgAgS2: optimized geometry, PBE.

```
data_MgAgS2
_chemical_formula_sum 'Mg3 Ag3 S6'
_space_group_name_H-M_alt 'R -3 m'
_space_group_IT_number 166
_space_group_name_Hall '-R 3 2"'
_cell_length_a 3.6693
_cell_length_b 3.6693
_cell_length_c 22.7383
_cell_angle_alpha 90.00
_cell_angle_beta 90.00
_cell_angle_gamma 120.00
loop_
_atom_site_label
_atom_site_type_symbol
_atom_site_fract_x
_atom_site_fract_y
_atom_site_fract_z
Mg1 Mg 0.0000 0.0000 0.0000
Ag1 Ag 0.0000 0.0000 0.5000
S1 S 0.0000 0.0000 0.3973
```

Calculated values
- DOS(E_F): 3.2 states/eV/f.u.
- E_form (uncorrected): -44.7 kJ/mol of atoms
- E: -3.638 eV per atom

=====

Mg2Ag2S: optimized geometry, PBE.

```
data_Mg2Ag2S
_chemical_formula_sum 'Mg4 Ag4 S2'
_space_group_name_H-M_alt 'P 4/m b m'
_space_group_IT_number 127
_space_group_name_Hall '-P 4 2ab'
_cell_length_a 6.726
_cell_length_b 6.726
_cell_length_c 4.472
_cell_angle_alpha 90.00
_cell_angle_beta 90.00
_cell_angle_gamma 90.00
loop_
_atom_site_label
_atom_site_type_symbol
_atom_site_fract_x
_atom_site_fract_y
_atom_site_fract_z
Mg1 Mg 0.159 0.341 0.000
Ag1 Ag 0.142 0.642 0.500
S1 S 0.000 0.000 0.000
```

Calculated values
- DOS(E_F): 1.8 states/eV/f.u.
- E_form (uncorrected): -18.3 kJ/mol of atoms
- Offset from the most stable computed form: 0.036 eV per atom
- E: -2.793 eV per atom

=====

MgAg2S: optimized geometry, PBE.

```
data_MgAg2S
_chemical_formula_sum 'Mg4 Ag8 S4'
_space_group_name_H-M_alt 'F m -3 m'
_space_group_IT_number 225
_space_group_name_Hall '-F 4 2 3'
_cell_length_a 6.662
_cell_length_b 6.662
_cell_length_c 6.662
_cell_angle_alpha 90.00
_cell_angle_beta 90.00
_cell_angle_gamma 90.00
loop_
_atom_site_label
_atom_site_type_symbol
_atom_site_fract_x
_atom_site_fract_y
_atom_site_fract_z
Mg1 Mg 0.000 0.000 0.000
Ag1 Ag 0.250 0.250 0.250
S1 S 0.000 0.000 0.500
```

Calculated values
- DOS(E_F): 0.2 states/eV/f.u.
- E_form (uncorrected): 1.3 kJ/mol of atoms
- Offset from the most stable computed form: 0.218 eV per atom
- E: -2.843 eV per atom

=====

MgAgS2: optimized geometry, PBE.

```
data_MgAgS2
_chemical_formula_sum 'Mg3 Ag3 S6'
_space_group_name_H-M_alt 'R 3 m'
_space_group_IT_number 160
_space_group_name_Hall 'R 3 -2"'
_cell_length_a 3.7387
_cell_length_b 3.7387
_cell_length_c 18.8747
_cell_angle_alpha 90.00
_cell_angle_beta 90.00
_cell_angle_gamma 120.00
loop_
_atom_site_label
_atom_site_type_symbol
_atom_site_fract_x
_atom_site_fract_y
_atom_site_fract_z
Mg1 Mg 0.0000 0.0000 0.0000
Ag1 Ag 0.0000 0.0000 0.1678
S1 S 0.0000 0.0000 0.5877
S2 S 0.0000 0.0000 0.7467
```

Calculated values
- DOS(E_F): 3.0 states/eV/f.u.
- E_form (uncorrected): -45.7 kJ/mol of atoms
- E: -3.649 eV per atom

=====

MgAgS2: optimized geometry, PBE.

```
data_MgAgS2
_chemical_formula_sum 'Mg4 Ag4 S8'
_space_group_name_H-M_alt 'I -4 2 d'
_space_group_IT_number 122
_space_group_name_Hall 'I -4 2bw'
_cell_length_a 5.751
_cell_length_b 5.751
_cell_length_c 11.379
_cell_angle_alpha 90.00
_cell_angle_beta 90.00
_cell_angle_gamma 90.00
loop_
_atom_site_label
_atom_site_type_symbol
_atom_site_fract_x
_atom_site_fract_y
_atom_site_fract_z
Mg1 Mg 0.000 0.000 0.000
Ag1 Ag 0.000 0.000 0.500
S1 S 0.245 0.250 0.125
```

Calculated values
- DOS(E_F): 5.5 states/eV/f.u.
- E_form (uncorrected): -50.0 kJ/mol of atoms
- E: -3.693 eV per atom

=====

MgAg2SbS4: optimized geometry, PBE.

```
data_MgAg2SbS4
_chemical_formula_sum 'Mg2 Ag4 Sb2 S8'
_space_group_name_H-M_alt 'I -4'
_space_group_IT_number 82
_space_group_name_Hall 'I -4'
_cell_length_a 5.918
_cell_length_b 5.918
_cell_length_c 11.477
_cell_angle_alpha 90.00
_cell_angle_beta 90.00
_cell_angle_gamma 90.00
loop_
_atom_site_label
_atom_site_type_symbol
_atom_site_fract_x
_atom_site_fract_y
_atom_site_fract_z
Mg1 Mg 0.000 0.000 0.000
Ag1 Ag 0.000 0.000 0.500
Ag2 Ag 0.000 0.500 0.250
Sb1 Sb 0.000 0.500 0.750
S1 S 0.242 0.755 0.877
```

Calculated values
- DOS(E_F): 4.7 states/eV/f.u.
- E_form (uncorrected): -36.7 kJ/mol of atoms
- E: -3.871 eV per atom

=====

Mg2Ag3SnS6: optimized geometry, PBE.

```
data_Mg2Ag3SnS6
_chemical_formula_sum 'Mg4 Ag6 Sn2 S12'
_space_group_name_H-M_alt 'C 1 2/m 1'
_space_group_IT_number 12
_space_group_name_Hall '-C 2y'
_cell_length_a 6.539
_cell_length_b 11.332
_cell_length_c 6.550
_cell_angle_alpha 90.00
_cell_angle_beta 106.98
_cell_angle_gamma 90.00
loop_
_atom_site_label
_atom_site_type_symbol
_atom_site_fract_x
_atom_site_fract_y
_atom_site_fract_z
Mg1 Mg 0.000 0.167 0.000
Ag1 Ag 0.000 0.000 0.500
Ag2 Ag 0.000 0.337 0.500
Sn1 Sn 0.000 0.500 0.000
S1 S 0.228 0.335 0.236
S2 S 0.233 0.000 0.224
```

Calculated values
- DOS(E_F): 6.8 states/eV/f.u.
- E_form (uncorrected): -50.1 kJ/mol of atoms
- E: -3.895 eV per atom

=====

Sr2MgAgS: optimized geometry, PBE.

```
data_Sr2MgAgS
_chemical_formula_sum 'Sr2 Mg1 Ag1 S1'
_space_group_name_H-M_alt 'P 4/m m m'
_space_group_IT_number 123
_space_group_name_Hall '-P 4 2'
_cell_length_a 6.105
_cell_length_b 6.105
_cell_length_c 4.790
_cell_angle_alpha 90.00
_cell_angle_beta 90.00
_cell_angle_gamma 90.00
loop_
_atom_site_label
_atom_site_type_symbol
_atom_site_fract_x
_atom_site_fract_y
_atom_site_fract_z
Sr1 Sr 0.000 0.500 0.000
Mg1 Mg 0.000 0.000 0.000
Ag1 Ag 0.000 0.000 0.500
S1 S 0.500 0.500 0.500
```

Calculated values
- DOS(E_F): 3.3 states/eV/f.u.
- E_form (uncorrected): 0.5 kJ/mol of atoms
- E: -2.383 eV per atom

=====

MgAg2TeS4: optimized geometry, PBE.

```
data_MgAg2TeS4
_chemical_formula_sum 'Mg4 Ag8 Te4 S16'
_space_group_name_H-M_alt 'I m m a'
_space_group_IT_number 74
_space_group_name_Hall '-I 2b 2'
_cell_length_a 7.641
_cell_length_b 7.732
_cell_length_c 10.861
_cell_angle_alpha 90.00
_cell_angle_beta 90.00
_cell_angle_gamma 90.00
loop_
_atom_site_label
_atom_site_type_symbol
_atom_site_fract_x
_atom_site_fract_y
_atom_site_fract_z
Mg1 Mg 0.250 0.250 0.250
Ag1 Ag 0.000 0.000 0.000
Ag2 Ag 0.250 0.250 0.750
Te1 Te 0.000 0.000 0.500
S1 S 0.000 0.015 0.253
S2 S 0.250 0.250 0.007
```

Calculated values
- DOS(E_F): 1.6 states/eV/f.u.
- E_form (uncorrected): -29.3 kJ/mol of atoms
- E: -3.672 eV per atom

=====

Mg2TiAgS: optimized geometry, PBE.

```
data_Mg2TiAgS
_chemical_formula_sum 'Mg2 Ti1 Ag1 S1'
_space_group_name_H-M_alt 'P 4/m m m'
_space_group_IT_number 123
_space_group_name_Hall '-P 4 2'
_cell_length_a 5.442
_cell_length_b 5.442
_cell_length_c 4.906
_cell_angle_alpha 90.00
_cell_angle_beta 90.00
_cell_angle_gamma 90.00
loop_
_atom_site_label
_atom_site_type_symbol
_atom_site_fract_x
_atom_site_fract_y
_atom_site_fract_z
Mg1 Mg 0.000 0.500 0.000
Ti1 Ti 0.000 0.000 0.000
Ag1 Ag 0.000 0.000 0.500
S1 S 0.500 0.500 0.500
```

Calculated values
- DOS(E_F): 6.4 states/eV/f.u.
- E_form (uncorrected): 107.3 kJ/mol of atoms
- E: -2.501 eV per atom

=====

What is the formula in the fourth record? Mg2Ag2S